GePt2I: relaxed, PBE.

Results
E above lowest polymorph = 0 meV per atom
D(E_F) = 0.922 states/eV/atom
formation energy from raw total energies = 0.1225 eV/atom
density = 10.06 g cm⁻³

a b c (Å): 6.5352 6.5352 6.4920
angles (deg): 59.78 59.78 90.00
Positions (direct):
Pt1 0.1641 0.6250 0.2500
Pt2 0.8750 0.8359 0.7500
Pt3 0.5859 0.1250 0.2500
Pt4 0.3750 0.4141 0.7500
I1 0.0000 0.0000 0.0000
I2 0.7500 0.2500 0.5000
Ge1 0.2500 0.7500 0.5000
Ge2 0.5000 0.5000 0.0000